Here is a relaxed Er6Ga2PbSe3 crystal from Alexandria via LeMat-Bulk. Energies are from GGA-PBE.

Structure (extended XYZ):
```
12
Lattice="3.960 0.000 0.000 0.000 8.656 -0.131 -1.980 -2.955 8.796" Properties=species:S:1:pos:R:3 pbc="T T T"
Se 1.980 4.328 -0.066
Se 0.000 6.251 2.777
Se 1.980 -0.551 5.888
Er 0.000 1.590 5.818
Er 0.000 2.319 -0.007
Er 1.980 3.381 8.671
Er 1.980 4.110 2.846
Er 0.000 5.954 5.620
Er 1.980 -0.254 3.044
Pb 1.980 0.000 0.000
Ga 0.000 1.941 2.932
Ga 1.980 3.759 5.733
```

Summary:
As for the energy relative to the elements, uncorrected: -1.1068 eV/atom. As for the density of states at the Fermi level: 0.376 states/eV per atom. The value obtained for the magnetization is 0.00 μB per cell. The theoretical density is 8.786 g cm⁻³.


Here is a relaxed NaNdErIn crystal from Alexandria via LeMat-Bulk. Energies are from GGA-PBE.

Structure (extended XYZ):
```
4
Lattice="-0.839 -4.993 2.029 4.117 -2.733 2.309 0.058 -0.796 5.395" Properties=species:S:1:pos:R:3 pbc="T T T"
In 1.668 -4.261 4.867
Er 0.834 -2.130 2.433
Nd 2.502 -6.391 7.300
Na 0.000 0.000 0.000
```

Summary:
As for the density of states at the Fermi level: 1.119 states/eV per atom. The value obtained for the magnetization is 0.00 μB per cell. The theoretical density is 6.503 g cm⁻³. The calculated total energy comes out at -3.477 eV per atom.


Here is a relaxed TiV3Mo crystal from Alexandria via LeMat-Bulk. Energies are from GGA-PBE.

Structure (extended XYZ):
```
20
Lattice="2.998 0.000 0.000 0.000 8.993 0.000 0.000 0.000 11.187" Properties=species:S:1:pos:R:3 pbc="T T T"
Ti 0.749 1.188 11.184
Ti 2.248 7.805 0.003
Ti 2.248 3.309 5.591
Ti 0.749 5.684 5.596
V 0.749 5.346 1.096
V 0.749 8.026 8.727
V 2.248 0.967 2.460
V 2.248 5.463 3.133
V 2.248 3.647 10.091
V 2.248 5.659 7.806
V 0.749 0.849 4.497
V 0.749 3.530 8.054
V 0.749 7.831 2.212
V 2.248 1.162 8.975
V 0.749 3.334 3.381
V 2.248 8.144 6.690
Mo 2.248 3.156 1.294
Mo 0.749 5.837 9.893
Mo 2.248 7.653 4.300
Mo 0.749 1.340 6.887
```

Summary:
As for the density of states at the Fermi level: 1.388 states/eV per atom. The value obtained for the magnetization is 0.00 μB per cell. The theoretical density is 6.533 g cm⁻³. The calculated total energy comes out at -9.001 eV per atom.


Here is a relaxed PbCl crystal from Alexandria via LeMat-Bulk. Energies are from GGA-PBE.

Structure (extended XYZ):
```
4
Lattice="-1.729 -6.523 1.082 4.218 -5.204 1.357 -1.508 6.428 1.765" Properties=species:S:1:pos:R:3 pbc="T T T"
Pb 1.245 -5.863 1.220
Pb -0.996 -2.979 2.033
Cl 0.000 0.000 0.000
Cl 1.977 -2.319 2.171
```

Summary:
As for the energy relative to the elements, uncorrected: -0.5439 eV/atom. As for the density of states at the Fermi level: 0.458 states/eV per atom. The value obtained for the magnetization is 0.00 μB per cell. The theoretical density is 7.086 g cm⁻³.


Here is a relaxed FeCoTe crystal from Alexandria via LeMat-Bulk. Energies are from GGA-PBE.

Structure (extended XYZ):
```
6
Lattice="3.852 0.000 0.000 -1.926 3.342 0.000 0.000 0.000 8.318" Properties=species:S:1:pos:R:3 pbc="T T T"
Te 0.000 1.857 6.730
Te 0.000 1.857 1.588
Co 1.926 0.743 0.000
Co 0.000 1.857 4.159
Fe 1.926 0.741 3.014
Fe 1.926 0.741 5.304
```

Summary:
As for the energy relative to the elements, uncorrected: 0.3047 eV/atom. As for the density of states at the Fermi level: 1.070 states/eV per atom. The value obtained for the magnetization is 5.10 μB per cell. The theoretical density is 7.518 g cm⁻³.


Here is a relaxed CsPaTcO6 crystal from Alexandria via LeMat-Bulk. Energies are from GGA-PBE.

Structure (extended XYZ):
```
18
Lattice="-3.092 -1.149 7.282 -6.304 -2.465 -3.065 6.665 -3.268 -2.073" Properties=species:S:1:pos:R:3 pbc="T T T"
O -1.384 -4.966 -2.869
O 0.251 -5.329 -0.734
O 1.204 -3.933 1.389
O -2.440 -5.358 -0.382
O -1.346 -1.916 5.013
O -0.290 -1.524 2.526
O -2.982 -1.552 2.877
O -4.046 -3.608 -2.287
O -3.935 -2.949 0.754
O 1.316 -3.273 4.430
O 2.260 -3.541 -1.097
O -4.990 -3.341 3.241
Cs -1.021 -2.048 -0.756
Cs -1.710 -4.833 2.900
Tc -4.698 -1.807 2.108
Tc -1.546 -0.574 3.641
Pa 3.333 -1.634 -1.037
Pa 1.787 -2.208 2.604
```

Summary:
As for the energy relative to the elements, uncorrected: -2.3107 eV/atom. As for the density of states at the Fermi level: 0.262 states/eV per atom. The value obtained for the magnetization is 0.00 μB per cell. The theoretical density is 5.731 g cm⁻³.


Here is a relaxed Na2Ag3F6 crystal from Alexandria via LeMat-Bulk. Energies are from GGA-PBE.

Structure (extended XYZ):
```
22
Lattice="5.590 0.000 1.559 2.928 5.064 0.302 -0.468 -3.898 12.477" Properties=species:S:1:pos:R:3 pbc="T T T"
F 3.308 0.016 8.570
F 6.140 1.447 9.212
F 0.241 -1.813 7.768
F 5.517 0.864 2.991
F 5.611 4.497 2.651
F 2.533 0.303 11.347
F 4.989 -1.501 12.346
F 1.909 -0.280 5.127
F 3.060 2.668 1.993
F 2.438 -3.330 11.688
F 7.808 2.980 6.571
F 4.741 1.151 5.769
Na 3.836 0.347 13.246
Na 2.649 1.403 6.703
Na 5.401 -0.237 7.636
Na 4.213 0.820 1.093
Ag 2.861 -1.657 10.125
Ag 2.097 1.270 3.509
Ag 5.953 -0.104 10.830
Ag 4.840 -0.687 4.473
Ag 3.209 1.854 9.866
Ag 5.189 2.824 4.214
```

Summary:
As for the energy relative to the elements, uncorrected: -1.6316 eV/atom. As for the density of states at the Fermi level: 0.490 states/eV per atom. The value obtained for the magnetization is 2.15 μB per cell. The theoretical density is 4.646 g cm⁻³.


Here is a relaxed HoHfSc2Sb4 crystal from Alexandria via LeMat-Bulk. Energies are from GGA-PBE.

Structure (extended XYZ):
```
8
Lattice="-3.061 -0.269 2.857 -2.697 -5.812 -3.437 4.820 -2.167 4.961" Properties=species:S:1:pos:R:3 pbc="T T T"
Sb 0.031 -6.154 2.534
Sb -0.807 -4.981 -1.334
Sb 2.930 -2.998 2.857
Sb -0.969 -2.094 1.846
Ho -2.879 -3.041 -0.290
Hf 0.000 0.000 0.000
Sc 0.879 -1.218 3.909
Sc 1.061 -3.990 0.762
```

Summary:
As for the energy relative to the elements, uncorrected: -0.8448 eV/atom. As for the density of states at the Fermi level: 0.186 states/eV per atom. The value obtained for the magnetization is 0.00 μB per cell. The theoretical density is 7.324 g cm⁻³.


Here is a relaxed YSbW3 crystal from Alexandria via LeMat-Bulk. Energies are from GGA-PBE.

Structure (extended XYZ):
```
5
Lattice="4.901 0.000 0.000 0.000 4.901 0.000 0.000 0.000 4.901" Properties=species:S:1:pos:R:3 pbc="T T T"
W 0.000 2.450 0.000
W 0.000 0.000 2.450
W 2.450 0.000 0.000
Y 0.000 0.000 0.000
Sb 2.450 2.450 2.450
```

Summary:
As for the energy relative to the elements, uncorrected: 2.9337 eV/atom. As for the density of states at the Fermi level: 0.893 states/eV per atom. The value obtained for the magnetization is 0.00 μB per cell. The theoretical density is 10.752 g cm⁻³.


Here is a relaxed KMg3Os crystal from Alexandria via LeMat-Bulk. Energies are from GGA-PBE.

Structure (extended XYZ):
```
5
Lattice="5.158 0.000 0.000 0.000 5.158 0.000 0.000 0.000 5.158" Properties=species:S:1:pos:R:3 pbc="T T T"
Os 0.000 0.000 0.000
Mg 0.000 0.000 2.579
Mg 2.579 0.000 0.000
Mg 0.000 2.579 0.000
K 2.579 2.579 2.579
```

Summary:
As for the density of states at the Fermi level: 0.423 states/eV per atom. The value obtained for the magnetization is 0.00 μB per cell. The theoretical density is 3.658 g cm⁻³. The calculated total energy comes out at -3.072 eV per atom.


Here is a relaxed Y2TlIr crystal from Alexandria via LeMat-Bulk. Energies are from GGA-PBE.

Structure (extended XYZ):
```
4
Lattice="-0.796 -1.322 -3.706 -2.588 -2.672 1.509 -4.949 4.489 -0.539" Properties=species:S:1:pos:R:3 pbc="T T T"
Y -3.311 -0.528 -1.275
Y -4.926 4.468 -0.536
Ir -1.962 1.779 -0.214
Tl -5.558 1.510 -1.520
```

Summary:
As for the density of states at the Fermi level: 0.473 states/eV per atom. The value obtained for the magnetization is 0.00 μB per cell. The theoretical density is 8.832 g cm⁻³. The calculated total energy comes out at -6.323 eV per atom.


Here is a relaxed MgOsCl2 crystal from Alexandria via LeMat-Bulk. Energies are from GGA-PBE.

Structure (extended XYZ):
```
4
Lattice="-8.664 2.361 -0.584 -7.927 3.165 2.850 -7.112 5.507 0.237" Properties=species:S:1:pos:R:3 pbc="T T T"
Os -11.851 5.517 1.252
Mg 0.000 0.000 0.000
Cl -2.867 1.335 0.303
Cl -20.836 9.699 2.200
```

Summary:
As for the energy relative to the elements, uncorrected: 0.3512 eV/atom. As for the density of states at the Fermi level: 0.445 states/eV per atom. The value obtained for the magnetization is 0.00 μB per cell. The theoretical density is 4.817 g cm⁻³.


Here is a relaxed Sm4ErRh2 crystal from Alexandria via LeMat-Bulk. Energies are from GGA-PBE.

Structure (extended XYZ):
```
14
Lattice="-3.722 -1.621 -4.993 -3.536 -5.553 4.438 -3.610 7.175 0.362" Properties=species:S:1:pos:R:3 pbc="T T T"
Er -3.459 -1.853 -3.040
Er -7.408 1.854 2.847
Sm -7.844 -0.647 -0.164
Sm -3.024 0.648 -0.030
Sm -6.642 -1.418 3.338
Sm -7.942 1.606 -2.861
Sm -4.225 1.419 -3.532
Sm -6.112 2.403 -0.405
Sm -2.925 -1.605 2.667
Sm -4.755 -2.402 0.212
Rh -5.320 5.421 0.133
Rh -5.577 -0.351 -1.949
Rh -5.547 -5.420 -0.326
Rh -5.291 0.352 1.756
```

Summary:
As for the density of states at the Fermi level: 1.131 states/eV per atom. The value obtained for the magnetization is 0.00 μB per cell. The theoretical density is 8.593 g cm⁻³. The calculated total energy comes out at -5.854 eV per atom.


Here is a relaxed PmSmPdPt crystal from Alexandria via LeMat-Bulk. Energies are from GGA-PBE.

Structure (extended XYZ):
```
4
Lattice="5.065 0.000 0.000 2.533 4.387 0.000 2.533 1.462 4.136" Properties=species:S:1:pos:R:3 pbc="T T T"
Sm 5.065 2.925 2.068
Pd 2.533 1.462 1.034
Pt 7.598 4.387 3.102
Pm 0.000 0.000 0.000
```

Summary:
As for the density of states at the Fermi level: 0.935 states/eV per atom. The value obtained for the magnetization is 0.00 μB per cell. The theoretical density is 10.784 g cm⁻³. The calculated total energy comes out at -6.120 eV per atom.


Here is a relaxed Ba2TiPbO6 crystal from Alexandria via LeMat-Bulk. Energies are from GGA-PBE.

Structure (extended XYZ):
```
10
Lattice="-0.788 -2.194 -3.501 -2.288 -2.736 2.230 -6.844 4.619 -1.355" Properties=species:S:1:pos:R:3 pbc="T T T"
O -3.816 1.212 -2.428
O -1.144 -1.368 1.115
O -0.394 -1.097 -1.751
O -3.380 -1.222 -1.001
O -4.566 0.941 0.437
O -6.540 0.910 -1.626
Pb -1.538 -2.465 -0.636
Ba -5.037 3.400 -0.998
Ba -1.807 1.219 -0.358
Ti -4.960 -0.156 -1.313
```

Summary:
As for the energy relative to the elements, uncorrected: -2.3319 eV/atom. As for the density of states at the Fermi level: 0.312 states/eV per atom. The value obtained for the magnetization is 0.00 μB per cell. The theoretical density is 7.018 g cm⁻³.